Entry 1:
Ca2CuIr3, relaxed, DFT PBE; ΔE_f = -0.383 eV/atom; total magnetic moment = 0.0008 μB/atom
1.0
4.742 -0.137 -2.492
-3.012 4.426 -0.231
-0.244 0.099 5.289
Ir Ca Cu
3 2 1
Direct
0.500 0.500 0.500
0.000 0.000 0.500
0.500 0.000 0.500
0.247 0.623 0.870
0.753 0.377 0.130
0.000 0.000 0.000



Entry 2:
Ce4Ge3Rh12Pb, relaxed, DFT PBE; ΔE_f = -0.116 eV/atom; total magnetic moment = 0.1971 μB/atom
1.0
8.125 0.000 0.000
-2.708 7.660 0.000
-2.708 -3.830 6.634
Ge Rh Pb Ce
3 12 1 4
Direct
0.000 0.500 0.500
0.500 0.000 0.500
0.500 0.500 0.000
0.750 0.250 0.500
0.250 0.500 0.750
0.737 0.000 0.737
0.250 0.750 0.500
0.500 0.250 0.750
0.263 0.263 0.000
0.263 0.000 0.263
0.750 0.500 0.250
0.000 0.263 0.263
0.737 0.737 0.000
0.500 0.750 0.250
0.000 0.737 0.737
0.000 0.000 0.000
0.000 0.500 0.000
0.500 0.500 0.500
0.500 0.000 0.000
0.000 0.000 0.500



Entry 3:
CeErTh2, relaxed, DFT PBE; ΔE_f = 0.183 eV/atom; total magnetic moment = 0.0107 μB/atom
1.0
-1.817 -5.161 1.154
3.498 -3.769 2.197
-0.618 -1.624 5.315
Er Ce Th
1 1 2
Direct
0.000 0.000 0.000
0.500 0.500 0.500
0.250 0.250 0.250
0.750 0.750 0.750



Entry 4:
PaAs2Rh, relaxed, DFT PBE; ΔE_f = -0.695 eV/atom; total magnetic moment = 0.0000 μB/atom
1.0
-0.076 2.126 -3.132
-4.431 -0.234 -0.051
-0.223 3.664 2.492
As Rh Pa
2 1 1
Direct
0.000 0.500 0.000
0.000 0.000 0.500
0.500 0.000 0.000
0.500 0.500 0.500



Entry 5:
HgMo3, relaxed, DFT PBE; ΔE_f = 0.486 eV/atom; total magnetic moment = 0.0000 μB/atom
1.0
-0.967 -1.955 -1.660
4.664 -1.903 -1.985
-2.588 -3.079 3.624
Mo Hg
3 1
Direct
0.500 0.500 0.000
0.000 0.500 0.500
0.500 0.000 0.500
0.000 0.000 0.000



Entry 6:
La2Sm2Ga3, relaxed, DFT PBE; ΔE_f = -0.447 eV/atom; total magnetic moment = 0.0000 μB/atom
1.0
4.341 0.000 0.000
-2.171 6.805 -0.018
0.000 -3.583 6.688
La Sm Ga
2 2 3
Direct
0.115 0.229 0.793
0.885 0.771 0.207
0.162 0.323 0.282
0.838 0.677 0.718
0.500 0.000 0.000
0.418 0.836 0.538
0.582 0.164 0.462



Calculated density, 11.18, 8.93, 10.36, 10.78, 12.00, 6.63 g/cm³ (same order as the records).